First-principles (PBE) data for Hf2MgTcHg after structural relaxation, as listed in Alexandria via LeMat-Bulk.

a = 5.213 Å, b = 4.750 Å, c = 5.213 Å
α = 90.00°, β = 90.00°, γ = 90.00°
Element x y z (fractional)
Mg  0.000  0.500  0.000
Hf  0.000  0.000  0.500
Hf  0.500  0.000  0.000
Hg  0.000  0.000  0.000
Tc  0.500  0.500  0.500

Output
Total DFT energy (no corrections) = -5.06 eV per atom
Mass density = 8745 kg/m³
SG = P4/mmm (123)
Formation enthalpy at 0 K = 1.370 eV per atom
Magnetization = 1.2 μB per cell



First-principles (PBE) data for Zn2InRu after structural relaxation, as listed in Alexandria via LeMat-Bulk.

a = 5.278 Å, b = 5.278 Å, c = 4.320 Å
α = 66.01°, β = 66.01°, γ = 36.46°
Element x y z (fractional)
In  0.250  0.250  0.250
Ru  0.750  0.750  0.750
Zn  0.018  0.018  0.982
Zn  0.482  0.482  0.518

Output
Total DFT energy (no corrections) = -3.66 eV per atom
Mass density = 8907 kg/m³
SG = C2/m (12)
Formation enthalpy at 0 K = -0.018 eV per atom
Magnetization = 0.0 μB per cell



First-principles (PBE) data for Mg2AlOs after structural relaxation, as listed in Alexandria via LeMat-Bulk.

a = 3.224 Å, b = 3.224 Å, c = 6.684 Å
α = 90.00°, β = 90.00°, γ = 90.00°
Element x y z (fractional)
Al  0.500  0.500  0.700
Mg  0.000  0.000  0.974
Mg  0.500  0.500  0.291
Os  0.000  0.000  0.535

Output
Total DFT energy (no corrections) = -4.64 eV per atom
Mass density = 6352 kg/m³
SG = P4mm (99)
Formation enthalpy at 0 K = -0.099 eV per atom
Magnetization = 0.0 μB per cell



First-principles (PBE) data for AlZnP2 after structural relaxation, as listed in Alexandria via LeMat-Bulk.

a = 3.008 Å, b = 3.008 Å, c = 6.799 Å
α = 90.00°, β = 90.00°, γ = 90.00°
Element x y z (fractional)
P  0.000  0.000  0.989
P  0.000  0.000  0.511
Zn  0.500  0.500  0.250
Al  0.500  0.500  0.750

Output
Total DFT energy (no corrections) = -3.70 eV per atom
Mass density = 4167 kg/m³
Excess energy over the best structure of this formula in the dataset = 487.9 meV per atom
SG = P4/mmm (123)
Formation enthalpy at 0 K = 0.264 eV per atom
Magnetization = 0.0 μB per cell